Computed, not measured: crystalline ZrPaAu6 at its relaxed geometry at the GGA-PBE level of DFT.

Geometry as CIF:
```
data_ZrPaAu6
_space_group_name_H-M_alt 'P 1'
_space_group_IT_number 1
_cell_length_a 5.581
_cell_length_b 5.581
_cell_length_c 8.142
_cell_angle_alpha 69.96
_cell_angle_beta 69.96
_cell_angle_gamma 60.00
loop_
_space_group_symop_operation_xyz
'x,y,z'
loop_
_atom_site_label
_atom_site_fract_x
_atom_site_fract_y
_atom_site_fract_z
_atom_site_occupancy
Zr1 0.000 0.000 0.000 1
Pa1 0.500 0.500 0.500 1
Au1 0.070 0.070 0.298 1
Au2 0.070 0.561 0.298 1
Au3 0.439 0.930 0.702 1
Au4 0.930 0.439 0.702 1
Au5 0.930 0.930 0.702 1
Au6 0.561 0.070 0.298 1
```

Formation enthalpy at 0 K, eV/atom: 0.020